*a*
Compound: Hg2AsAu
Source: the Alexandria database
Functional: PBE-GGA
Structure: relaxed

Lattice parameters (Å, degrees): 4.977 2.942 6.792 115.73 90.00 90.00
Fractional positions:
Hg 0.000 0.995 0.997
Hg 0.000 0.505 0.503
Au 0.500 0.750 0.750
As 0.500 0.250 0.250

SG: No. 10
spin magnetization: 0.000 μB/atom
theoretical density: 12.48 Mg/m³

=====

*b*
Compound: Hg2AsAu
Source: the Alexandria database
Functional: PBE-GGA
Structure: relaxed

Lattice parameters (Å, degrees): 3.931 3.931 5.647 90.00 90.00 90.00
Fractional positions:
As 0.500 0.500 0.250
Au 0.500 0.500 0.750
Hg 0.000 0.000 0.501
Hg 0.000 0.000 0.999

SG: No. 123
spin magnetization: 0.000 μB/atom
theoretical density: 12.81 Mg/m³

=====

Which structure loses on stability? *b* does.